Entry 1:
Computed, not measured: a relaxed structure of TbLuAl at the GGA-PBE level of DFT.

Output
D(E_F)	2.2	states/eV/cell
energy of formation	-255	meV per atom
size of the total moment	0.00	μB per cell
calculated total energy	-4.553	eV/atom

Unit cell a=3.4196 b=3.4196 c=7.0521 alpha=104.03 beta=104.03 gamma=90.00
With the nearest neighbours (Å) after each atom.
Sites, in units of the cell vectors:
Lu  0.2649  0.2649  0.5297  4 Al 3.09, 4 Lu 3.42
Tb  0.9660  0.9660  0.9321  4 Al 3.16, 4 Tb 3.42
Al  0.6191  0.6191  0.2382  4 Lu 3.09, 4 Tb 3.16, 4 Al 3.42

Entry 2:
Computed, not measured: a relaxed structure of TbLu2Al at the GGA-PBE level of DFT.

Output
D(E_F)	3.6	states/eV/cell
energy of formation	-202	meV per atom
size of the total moment	0.00	μB per cell
calculated total energy	-4.555	eV/atom

Unit cell a=3.4729 b=3.4729 c=8.8040 alpha=90.00 beta=90.00 gamma=90.00
With the nearest neighbours (Å) after each atom.
Sites, in units of the cell vectors:
Lu  0.0000  0.0000  0.7867  4 Al 3.09
Lu  0.0000  0.0000  0.2133  4 Al 3.09
Tb  0.5000  0.5000  0.5000  4 Tb 3.47, 8 Lu 3.52
Al  0.5000  0.5000  0.0000  8 Lu 3.09

Q: Among the records above, which one has the lowest energy of formation?
A: TbLuAl